{"formula": "RbLaTl2Br6", "functional": "PBE", "state": "optimized geometry", "cell": [[4.1602, 2.4019, 7.2405], [-4.1602, 2.4019, 7.2405], [0.0000, -4.8038, 7.2405]], "species": ["Rb", "La", "Tl", "Tl", "Br", "Br", "Br", "Br", "Br", "Br"], "fractional_positions": [[0.0000, 0.0000, 0.0000], [0.5102, 0.5102, 0.5102], [0.2024, 0.2024, 0.2024], [0.7119, 0.7119, 0.7119], [0.1559, 0.7591, 0.4034], [0.3245, 0.5936, 0.8749], [0.4034, 0.1559, 0.7591], [0.5936, 0.8749, 0.3245], [0.7591, 0.4034, 0.1559], [0.8749, 0.3245, 0.5936]], "n_ef_per_ev_fu": 0.0, "e_form_raw_ev_per_atom": -1.51, "final_energy_ev_per_cell": -35.75}